1.
An optimized crystal structure of SrCo3P4O14. Source: OQMD via LeMat-Bulk, functional PBE with a Hubbard U.

Lattice parameters (Å, degrees): 7.4364 7.6615 9.4669 90.00 111.76 90.00
Last column: nearest neighbours and their distance in Å.
Space group P2_1/c (No. 14)
Inequivalent atoms, fractional coordinates:
1 Sr 0.0000 0.0000 0.0000 (multiplicity 2)  8 O 2.53-2.72
2 Co 0.3125 0.1254 0.4697 (multiplicity 4)  6 O 2.07-2.18
3 Co 0.5000 0.0000 0.0000 (multiplicity 2)  6 O 2.07-2.16
4 P 0.1001 0.0610 0.7012 (multiplicity 4)  4 O 1.52-1.61
5 P 0.3852 0.7052 0.1937 (multiplicity 4)  4 O 1.52-1.61
6 O 0.1051 0.5244 0.8070 (multiplicity 4)  1 P 1.52
7 O 0.1221 0.1848 0.5835 (multiplicity 4)  1 P 1.52
8 O 0.1767 0.6295 0.1774 (multiplicity 4)  2 P 1.61
9 O 0.2270 0.1186 0.8652 (multiplicity 4)  1 P 1.55
10 O 0.3407 0.6207 0.6107 (multiplicity 4)  1 P 1.52
11 O 0.4721 0.5757 0.1136 (multiplicity 4)  1 P 1.53
12 O 0.4956 0.7139 0.3655 (multiplicity 4)  1 P 1.53

Summary:
uncorrected energy = -0.51445 Ry per atom


2.
An optimized crystal structure of SrCoPO. Source: OQMD via LeMat-Bulk, functional PBE with a Hubbard U.

Lattice parameters (Å, degrees): 3.3916 6.6012 6.7338 90.00 90.00 90.00
Last column: nearest neighbours and their distance in Å.
Space group Pmc2_1 (No. 26)
Inequivalent atoms, fractional coordinates:
1 Sr 0.0000 0.2075 0.0000 (multiplicity 2)  2 O 2.37-2.49
2 Co 0.5000 0.2736 0.4045 (multiplicity 2)  2 O 1.99
3 P 0.5000 0.4444 0.7012 (multiplicity 2)  2 Co 2.29-2.31
4 O 0.0000 0.1223 0.3601 (multiplicity 2)  2 Co 1.99

Summary:
energy above the lowest structure with this stoichiometry = 135 meV per atom


3.
An optimized crystal structure of CoTePO. Source: OQMD via LeMat-Bulk, functional PBE with a Hubbard U.

Lattice parameters (Å, degrees): 4.2954 5.8396 5.5800 90.00 90.00 90.00
Last column: nearest neighbours and their distance in Å.
Space group Pmc2_1 (No. 26)
Inequivalent atoms, fractional coordinates:
1 Co 0.0000 0.1523 0.0000 (multiplicity 2)  2 O 2.08-2.11
2 Te 0.5000 0.2578 0.4344 (multiplicity 2)  2 O 2.21
3 P 0.5000 0.2827 0.8973 (multiplicity 2)  2 Co 2.35, 1 Te 2.59
4 O 0.0000 0.1847 0.3775 (multiplicity 2)  2 Co 2.08-2.11, 2 Te 2.21

Summary:
energy above the lowest structure with this stoichiometry = 0 meV per atom


4.
An optimized crystal structure of CoTePO. Source: OQMD via LeMat-Bulk, functional PBE with a Hubbard U.

Lattice parameters (Å, degrees): 4.1761 4.1761 9.0073 90.00 90.00 90.00
Last column: nearest neighbours and their distance in Å.
Space group P4/nmm (No. 129, origin choice 2)
Inequivalent atoms, fractional coordinates:
1 Co 0.2500 0.2500 0.0360 (multiplicity 2)  4 O 2.11, 1 P 2.19
2 Te 0.2500 0.7500 0.5000 (multiplicity 2)  4 P 2.88, 4 Te 2.95
3 P 0.2500 0.2500 0.2796 (multiplicity 2)  1 Co 2.19
4 O 0.2500 0.7500 0.0000 (multiplicity 2)  4 Co 2.11

Summary:
energy above the lowest structure with this stoichiometry = 335 meV per atom


5.
An optimized crystal structure of CoTe2P2O10. Source: OQMD via LeMat-Bulk, functional PBE with a Hubbard U.

Lattice parameters (Å, degrees): 4.4991 6.0654 6.1689 89.92 68.94 76.53
Last column: nearest neighbours and their distance in Å.
Space group P-1 (No. 2)
Inequivalent atoms, fractional coordinates:
1 Co 0.0000 0.0000 0.0000 (multiplicity 1)  6 O 2.01-2.18
2 Te 0.2521 0.4036 0.1966 (multiplicity 2)  3 O 1.96-2.09
3 P 0.3317 0.8921 0.4041 (multiplicity 2)  5 O 1.63-1.81
4 O 0.0211 0.0248 0.3186 (multiplicity 2)  2 P 1.70-1.84
5 O 0.2596 0.6341 0.4225 (multiplicity 2)  1 P 1.67
6 O 0.2697 0.6444 0.9532 (multiplicity 2)  2 Te 1.96-2.09, 1 Co 2.18
7 O 0.3826 0.1586 0.8551 (multiplicity 2)  1 P 1.63
8 O 0.4128 0.1657 0.4400 (multiplicity 2)  2 P 1.72-1.81

Summary:
uncorrected energy = -0.45094 Ry per atom


6.
An optimized crystal structure of CoTePO. Source: OQMD via LeMat-Bulk, functional PBE with a Hubbard U.

Lattice parameters (Å, degrees): 3.7448 3.7448 7.9937 90.00 90.00 90.00
Last column: nearest neighbours and their distance in Å.
Space group P4/nmm (No. 129, origin choice 2)
Inequivalent atoms, fractional coordinates:
1 Co 0.2500 0.7500 0.0000 (multiplicity 2)  4 P 2.21
2 Te 0.2500 0.2500 0.3287 (multiplicity 2)  4 O 2.32
3 P 0.2500 0.2500 0.8538 (multiplicity 2)  4 Co 2.21
4 O 0.2500 0.7500 0.5000 (multiplicity 2)  4 Te 2.32

Summary:
energy above the lowest structure with this stoichiometry = 141 meV per atom


7.
An optimized crystal structure of CoTePO. Source: OQMD via LeMat-Bulk, functional PBE with a Hubbard U.

Lattice parameters (Å, degrees): 3.4219 5.9464 6.9904 90.00 90.00 90.00
Last column: nearest neighbours and their distance in Å.
Space group Pmc2_1 (No. 26)
Inequivalent atoms, fractional coordinates:
1 Co 0.0000 0.2303 0.0000 (multiplicity 2)  2 O 2.01
2 Te 0.5000 0.2659 0.5381 (multiplicity 2)  1 O 2.05
3 P 0.0000 0.0927 0.3105 (multiplicity 2)  2 Co 2.32-2.33, 2 Te 2.55
4 O 0.5000 0.4013 0.9600 (multiplicity 2)  2 Co 2.01, 1 Te 2.05

Summary:
energy above the lowest structure with this stoichiometry = 134 meV per atom


8.
An optimized crystal structure of TmCoPO. Source: OQMD via LeMat-Bulk, functional PBE with a Hubbard U.

Lattice parameters (Å, degrees): 4.2541 5.8485 5.6383 90.00 90.00 90.00
Last column: nearest neighbours and their distance in Å.
Space group Pmc2_1 (No. 26)
Inequivalent atoms, fractional coordinates:
1 Tm 0.0000 0.2345 0.0000 (multiplicity 2)  2 O 2.19
2 Co 0.5000 0.3667 0.6219 (multiplicity 2)  2 O 1.99-2.04
3 P 0.0000 0.2380 0.4980 (multiplicity 2)  2 Co 2.36
4 O 0.5000 0.3222 0.9803 (multiplicity 2)  2 Co 1.99-2.04, 2 Tm 2.19

Summary:
uncorrected energy = -0.47144 Ry per atom


9.
An optimized crystal structure of TmCoPO. Source: OQMD via LeMat-Bulk, functional PBE with a Hubbard U.

Lattice parameters (Å, degrees): 4.3175 4.3175 8.7411 90.00 90.00 90.00
Last column: nearest neighbours and their distance in Å.
Space group P4/nmm (No. 129, origin choice 2)
Inequivalent atoms, fractional coordinates:
1 Tm 0.2500 0.7500 0.0000 (multiplicity 2)  4 P 2.65
2 Co 0.2500 0.2500 0.4845 (multiplicity 2)  4 O 2.16
3 P 0.2500 0.2500 0.1753 (multiplicity 2)  4 Tm 2.65, 1 Co 2.70
4 O 0.2500 0.7500 0.5000 (multiplicity 2)  4 Co 2.16

Summary:
uncorrected energy = -0.38796 Ry per atom


10.
An optimized crystal structure of TmCoPO. Source: OQMD via LeMat-Bulk, functional PBE with a Hubbard U.

Lattice parameters (Å, degrees): 3.8121 3.8121 7.6468 90.00 90.00 90.00
Last column: nearest neighbours and their distance in Å.
Space group P4/nmm (No. 129, origin choice 2)
Inequivalent atoms, fractional coordinates:
1 Tm 0.2500 0.2500 0.1433 (multiplicity 2)  4 O 2.20
2 Co 0.2500 0.7500 0.5000 (multiplicity 2)  4 P 2.18
3 P 0.2500 0.2500 0.6394 (multiplicity 2)  4 Co 2.18
4 O 0.2500 0.7500 0.0000 (multiplicity 2)  4 Tm 2.20

Summary:
uncorrected energy = -0.49915 Ry per atom


11.
An optimized crystal structure of TmCoPO. Source: OQMD via LeMat-Bulk, functional PBE with a Hubbard U.

Lattice parameters (Å, degrees): 4.2797 3.9101 6.6750 90.00 90.00 90.00
Last column: nearest neighbours and their distance in Å.
Space group Pmc2_1 (No. 26)
Inequivalent atoms, fractional coordinates:
1 Tm 0.0000 0.2294 0.0000 (multiplicity 2)  3 O 2.24-2.25
2 Co 0.5000 0.2751 0.3364 (multiplicity 2)  2 O 2.14, 3 P 2.23-2.25
3 P 0.5000 0.2258 0.6693 (multiplicity 2)  3 Co 2.23-2.25
4 O 0.0000 0.2716 0.3349 (multiplicity 2)  2 Co 2.14, 3 Tm 2.24-2.25

Summary:
uncorrected energy = -0.47008 Ry per atom